1.
SrSCl2F: optimized geometry, GGA-PBE.

Cell and atoms, written as POSCAR:
```
SrSCl2F
1.0
5.602 0.000 0.000
0.000 5.602 0.000
0.000 0.000 6.387
Sr S Cl F
1 1 2 1
Direct
0.000 0.000 0.000 Sr
0.000 0.000 0.500 S
0.000 0.500 0.000 Cl
0.500 0.000 0.000 Cl
0.500 0.500 0.500 F
```

Formation energy (no corrections), meV/atom: -677
Distance to the lowest polymorph of the same formula, eV per atom: 0.367

=====

2.
BiSeN2O: optimized geometry, GGA-PBE.

Cell and atoms, written as POSCAR:
```
BiSeN2O
1.0
4.167 0.000 0.000
0.000 4.167 0.000
0.000 0.000 3.966
Bi Se N O
1 1 2 1
Direct
0.000 0.000 0.000 Bi
0.500 0.500 0.000 Se
0.000 0.500 0.500 N
0.500 0.000 0.500 N
0.500 0.500 0.500 O
```

Formation energy (no corrections), meV/atom: 1687

=====

3.
Na2YHfZr: optimized geometry, GGA-PBE.

Cell and atoms, written as POSCAR:
```
Na2YHfZr
1.0
5.324 0.000 0.000
0.000 5.324 0.000
0.000 0.000 5.300
Na Y Hf Zr
2 1 1 1
Direct
0.000 0.500 0.000 Na
0.500 0.000 0.000 Na
0.000 0.000 0.500 Y
0.500 0.500 0.500 Hf
0.000 0.000 0.000 Zr
```

Formation enthalpy at 0 K, eV per atom: 1.519

=====

4.
Zn4CoPt: optimized geometry, GGA-PBE.

Cell and atoms, written as POSCAR:
```
Zn4CoPt
1.0
0.000 3.460 3.460
3.460 0.000 3.460
3.460 3.460 0.000
Zn Co Pt
4 1 1
Direct
0.125 0.125 0.125 Zn
0.125 0.125 0.626 Zn
0.125 0.626 0.125 Zn
0.626 0.125 0.125 Zn
0.750 0.750 0.750 Co
0.500 0.500 0.500 Pt
```

Formation enthalpy at 0 K, eV per atom: -0.015